Entry 1:
12
Lattice="-1.1686 0.0772 3.4671 7.0050 -9.6317 2.5758 4.5276 9.3262 1.3184" Properties=species:S:1:pos:R:3 comment="LaNd4Th | Alexandria | GGA-PBE | relaxed" relative_energy_mev_per_atom=0.0 space_group="C2/m (12)" m_tot_mub_per_fu=0.0 e_form_ev_per_atom=0.040 pbc="T T T"
Nd 4.2354 3.1457 5.2180
Nd 1.9041 -1.6767 4.5417
Nd 2.1093 1.6398 2.6056
Nd 4.3069 6.1435 3.2440
Nd 8.4598 1.4485 2.8195
Nd 6.1285 -3.3740 2.1432
Nd 8.2546 -1.8681 4.7556
La 5.1820 -0.1141 3.6806
Nd 6.0570 -6.3718 4.1172
Th 2.9182 -4.7772 3.0214
Th 2.2638 4.6631 0.6592
La 0.0000 0.0000 0.0000



Entry 2:
19
Lattice="-3.4398 -3.2192 -8.2892 -0.2838 -6.3981 8.0861 -8.1116 -0.9703 3.7430" Properties=species:S:1:pos:R:3 comment="La5Nd12Th2 | Alexandria | GGA-PBE | relaxed" relative_energy_mev_per_atom=53.6 space_group="C2/m (12)" m_tot_mub_per_fu=0.0 e_form_ev_per_atom=0.197 pbc="T T T"
Nd -5.9849 -3.2664 0.5132
Th -1.1625 -1.0879 -2.8012
La -3.0272 -4.6945 3.0794
Nd -10.0362 -7.5568 3.5512
Nd -5.8504 -7.3213 3.0266
La -8.8081 -5.8932 0.4604
Nd -4.0423 -3.2652 -2.5379
Nd -1.7991 -3.0309 -0.0114
Nd -6.7718 -1.5430 3.4094
La -4.0558 -0.4852 1.8715
La -6.4528 -4.4439 4.4036
Nd -4.4424 -6.0036 6.4196
Nd -7.8103 -5.4736 8.9153
Nd -7.7930 -7.3225 6.0777
Nd -4.0251 -5.1141 -5.3754
Th -2.2774 -2.1313 -5.4880
Nd -7.3929 -4.5841 -2.8798
La -5.3825 -6.1438 -0.8638
Nd -5.0635 -9.0447 0.1305



Entry 3:
13
Lattice="9.2514 -1.0534 -5.0608 -1.9505 9.5235 -5.5479 -3.7181 -1.9964 9.1711" Properties=species:S:1:pos:R:3 comment="La8Nd2Th3 | Alexandria | GGA-PBE | relaxed" space_group="C2/m (12)" m_tot_mub_per_fu=0.0 e_form_ev_per_atom=0.203 pbc="T T T"
La 1.9064 -0.3129 4.2389
Th 4.6257 -0.5267 -2.5304
Nd 1.4655 5.8888 -1.6974
La 5.4950 1.0719 -0.0919
Th -1.4799 7.2258 -4.2093
La 4.4302 5.2363 -3.8598
La 2.6172 2.1929 -3.0005
La 1.6764 6.7866 -5.6766
La 0.9655 4.2809 1.5629
La -0.8475 1.2374 2.4222
Th -0.4706 2.2977 -1.3385
La -1.9122 5.4018 -1.3458
Nd 2.1173 0.5849 0.2597



Entry 4:
11
Lattice="3.4371 0.0000 -0.5506 0.0439 9.5524 0.2738 0.1931 1.0975 12.2082" Properties=species:S:1:pos:R:3 comment="La2Nd5Th4 | Alexandria | GGA-PBE | relaxed" space_group="C2/m (12)" m_tot_mub_per_fu=0.0 e_form_ev_per_atom=0.294 pbc="T T T"
Nd 1.7185 0.0000 -0.2753
Nd 0.5036 4.7060 3.1438
Nd 0.5482 1.0331 3.4223
Th 0.0271 3.1133 0.1693
Th 3.6469 7.5366 11.7621
Th 1.4971 3.0024 9.3457
Nd 3.1704 5.9439 8.7876
La 2.6601 7.3147 5.6021
Th 2.1769 7.6475 2.5858
Nd 3.1258 9.6168 8.5092
La 1.0139 3.3352 6.3294



Entry 5:
9
Lattice="-4.1568 4.6032 1.4823 3.2028 -2.5589 -10.1725 -4.1963 -4.2209 5.6571" Properties=species:S:1:pos:R:3 comment="La5Nd2Th2 | Alexandria | GGA-PBE | relaxed" space_group="P-1 (2)" m_tot_mub_per_fu=0.0 e_form_ev_per_atom=0.044 pbc="T T T"
La -2.8351 -2.5185 -0.2090
Nd -3.4481 1.1001 0.6107
Nd -1.7022 -3.2766 -3.6439
Th -2.0824 -5.9036 -1.0849
La -3.8374 -1.5413 3.0872
La 0.0000 0.0000 0.0000
Th -3.0679 3.7270 -1.9482
La -2.3152 0.3419 -2.8242
La -1.3129 -0.6352 -6.1204



Entry 6:
11
Lattice="3.6629 0.0000 0.2247 1.8245 3.1761 0.2247 -0.2115 -0.1224 33.4146" Properties=species:S:1:pos:R:3 comment="La6Nd3Th2 | Alexandria | GGA-PBE | relaxed" space_group="R-3m (166)" m_tot_mub_per_fu=0.0 e_form_ev_per_atom=0.018 pbc="T T T"
Th 2.9156 1.6876 12.4056
Nd 1.4572 0.8434 6.2123
Th 2.3603 1.3661 21.4584
La 3.4707 2.0088 3.3572
La 1.8052 1.0448 30.5068
La 4.3653 2.5267 18.7401
La 4.9213 2.8484 9.6781
Nd 0.0000 0.0000 0.0000
La 0.3546 0.2052 24.1859
Nd 3.8187 2.2102 27.6517
La 0.9105 0.5270 15.1239